{
  "formula": "Cs2CaDyCl6",
  "functional": "GGA-PBE",
  "state": "optimized geometry",
  "lattice": [[7.682, 0.000, 0.000], [0.000, 7.688, 0.000], [0.000, 0.000, 10.875]],
  "species": ["Cs", "Cs", "Cs", "Cs", "Ca", "Ca", "Dy", "Dy", "Cl", "Cl", "Cl", "Cl", "Cl", "Cl", "Cl", "Cl", "Cl", "Cl", "Cl", "Cl"],
  "fractional_positions": [[0.500, 0.750, 0.250], [0.000, 0.250, 0.750], [0.500, 0.750, 0.750], [0.000, 0.250, 0.250], [0.000, 0.750, 0.500], [0.500, 0.250, 0.000], [0.500, 0.250, 0.500], [0.000, 0.750, 0.000], [0.500, 0.250, 0.252], [0.500, 0.250, 0.748], [0.000, 0.750, 0.248], [0.000, 0.750, 0.752], [0.252, 0.002, 0.500], [0.748, 0.002, 0.500], [0.252, 0.498, 0.500], [0.748, 0.498, 0.500], [0.752, 0.502, 0.000], [0.248, 0.502, 0.000], [0.248, 0.998, 0.000], [0.752, 0.998, 0.000]],
  "spacegroup": "Fm-3m",
  "dos_at_fermi_per_ev_atom": 0.4366,
  "formation_energy_uncorrected_mev_per_atom": -2074
}